Entry 1:
LiPr2Nd3Te6 | PBE | optimized geometry

a b c (Å): 19.552 4.485 8.968
angles (deg): 90.00 103.26 90.00
Space group C2/m (No. 12)
Symmetry-distinct sites (fractional):
Li 0.000 0.000 0.000 x2
Pr 0.168 0.500 0.338 x4
Nd 0.000 0.000 0.500 x2
Nd 0.169 0.500 0.832 x4
Te 0.001 0.500 0.761 x4
Te 0.160 0.000 0.078 x4
Te 0.165 0.000 0.585 x4

- total magnetic moment (μB per cell) = 0.00
- total energy (eV per atom) = -5.12

=====

Entry 2:
ThTi2Fe | PBE | optimized geometry

a b c (Å): 6.547 6.547 6.547
angles (deg): 90.00 90.00 90.00
Space group Fm-3m (No. 225)
Symmetry-distinct sites (fractional):
Th 0.000 0.000 0.000 x4
Ti 0.250 0.250 0.250 x8
Fe 0.000 0.000 0.500 x4

- total magnetic moment (μB per cell) = 0.56
- calculated formation energy (kJ per mole of atoms) = 24.73
- total energy (eV per atom) = -7.66

=====

In order of appearance, DOS(E_F) = 4.29 6.10 states/eV/f.u..